No. 1
A plane-wave DFT calculation with PBE with a Hubbard U was carried out for crystalline Li2CeMnO4 at its relaxed geometry.

The value obtained for the total moment is 0.625 μB/atom. The crystal system is tetragonal. For the volume, the calculation gives 11.7 Å³/atom.

Cell and atoms, written as POSCAR:
```
Li2CeMnO4
1.0
-2.2684 2.2684 4.5511
2.2684 -2.2684 4.5511
2.2684 2.2684 -4.5511
Li Ce Mn O
2 1 1 4
direct
0.0000 0.0000 0.0000 Li
0.7500 0.2500 0.5000 Li
0.2500 0.7500 0.5000 Ce
0.5000 0.5000 0.0000 Mn
0.0063 0.5063 0.5000 O
0.2565 0.2565 0.0000 O
0.4937 0.9937 0.5000 O
0.7435 0.7435 0.0000 O
```

No. 2
A plane-wave DFT calculation with PBE with a Hubbard U was carried out for crystalline Li4CeMn3O12 at its relaxed geometry.

The value obtained for the total moment is 0.250 μB/atom. The crystal system is cubic. For the volume, the calculation gives 10.3 Å³/atom.

Cell and atoms, written as POSCAR:
```
Li4CeMn3O12
1.0
-3.7154 3.7154 3.7154
3.7154 -3.7154 3.7154
3.7154 3.7154 -3.7154
Li Ce Mn O
4 1 3 12
direct
0.0000 0.0000 0.5000 Li
0.0000 0.5000 0.0000 Li
0.5000 0.0000 0.0000 Li
0.5000 0.5000 0.5000 Li
0.0000 0.0000 0.0000 Ce
0.0000 0.5000 0.5000 Mn
0.5000 0.0000 0.5000 Mn
0.5000 0.5000 0.0000 Mn
0.1433 0.3051 0.8381 O
0.1619 0.4670 0.3051 O
0.1619 0.8567 0.6949 O
0.3051 0.1619 0.4670 O
0.3051 0.8381 0.1433 O
0.4670 0.3051 0.1619 O
0.5330 0.6949 0.8381 O
0.6949 0.1619 0.8567 O
0.6949 0.8381 0.5330 O
0.8381 0.1433 0.3051 O
0.8381 0.5330 0.6949 O
0.8567 0.6949 0.1619 O
```

In eV/atom, the E_tot values for the records above are, in order, -7.00, -6.11.